Compound: Ca2BeAu
Source: Alexandria via LeMat-Bulk
Functional: PBEsol
Structure: optimized geometry Values from VASP.

```
&SYSTEM
  ibrav = 0, nat = 4, ntyp = 3
/
ATOMIC_SPECIES
Be 9.01 Be.upf
Ca 40.08 Ca.upf
Au 196.97 Au.upf
CELL_PARAMETERS angstrom
4.799 0.000 0.000
2.400 4.156 0.000
2.400 1.385 3.919
ATOMIC_POSITIONS angstrom
Be 2.400 1.385 0.980
Ca 0.000 0.000 0.000
Ca 7.199 4.156 2.939
Au 4.799 2.771 1.959
```

Formation enthalpy at 0 K   -0.049 eV/atom
Magnetization   0.00 μB/cell
Final energy   -3.097 eV per atom

Compound: CaBeAu3
Source: Alexandria via LeMat-Bulk
Functional: PBEsol
Structure: optimized geometry Values from VASP.

```
&SYSTEM
  ibrav = 0, nat = 5, ntyp = 3
/
ATOMIC_SPECIES
Be 9.01 Be.upf
Ca 40.08 Ca.upf
Au 196.97 Au.upf
CELL_PARAMETERS angstrom
-0.560 4.461 0.381
-2.656 -0.022 -3.647
-3.604 -0.677 2.629
ATOMIC_POSITIONS angstrom
Be 0.000 0.000 0.000
Ca -3.410 1.881 -0.319
Au -1.328 -0.011 -1.824
Au -1.802 -0.338 1.315
Au -0.280 2.231 0.190
```

Formation enthalpy at 0 K   -0.412 eV/atom
Magnetization   0.00 μB/cell
Final energy   -3.993 eV per atom

Compound: CaBe2Au2
Source: Alexandria via LeMat-Bulk
Functional: PBEsol
Structure: optimized geometry Values from VASP.

```
&SYSTEM
  ibrav = 0, nat = 5, ntyp = 3
/
ATOMIC_SPECIES
Be 9.01 Be.upf
Ca 40.08 Ca.upf
Au 196.97 Au.upf
CELL_PARAMETERS angstrom
-0.455 3.902 0.243
-3.537 -0.307 -1.699
-0.282 -2.364 5.573
ATOMIC_POSITIONS angstrom
Be -2.907 -0.437 1.573
Be -1.366 1.667 2.544
Ca 0.000 0.000 0.000
Au -1.678 -0.418 3.569
Au -2.596 1.648 0.547
```

Formation enthalpy at 0 K   -0.372 eV/atom
Magnetization   0.00 μB/cell
Final energy   -3.968 eV per atom

Compound: CaBeRu2Au
Source: Alexandria via LeMat-Bulk
Functional: PBEsol
Structure: optimized geometry Values from VASP.

```
&SYSTEM
  ibrav = 0, nat = 5, ntyp = 4
/
ATOMIC_SPECIES
Ru 101.07 Ru.upf
Ca 40.08 Ca.upf
Au 196.97 Au.upf
Be 9.01 Be.upf
CELL_PARAMETERS angstrom
4.566 0.000 0.000
0.000 4.566 0.000
0.000 0.000 4.924
ATOMIC_POSITIONS angstrom
Ru 0.000 2.283 0.000
Ru 2.283 0.000 0.000
Ca 0.000 0.000 0.000
Au 0.000 0.000 2.462
Be 2.283 2.283 2.462
```

Formation enthalpy at 0 K   2.299 eV/atom
Magnetization   1.97 μB/cell
Final energy   -3.782 eV per atom